Entry 1:
This record from Alexandria describes a geometry-optimized Tb12Tm3Sc structure. The functional is PBE.

Cell lengths 4.9932, 4.9932, 19.9364 Å; angles 90.00, 90.00, 90.00 degrees
Last column: nearest neighbours and their distance in Å.
Sites, in units of the cell vectors:
Tb (0.5000, 0.5000, 0.7522)  4 Tm 3.53, 8 Tb 3.54
Tm (0.0000, 0.0000, 0.5000)  12 Tb 3.53-3.54
Tb (0.5000, 0.0000, 0.3740)  8 Tb 3.53-3.54, 4 Tm 3.54
Tb (0.5000, 0.5000, 0.0000)  8 Tb 3.48, 4 Sc 3.53
Tb (0.5000, 0.5000, 0.2478)  4 Tm 3.53, 8 Tb 3.54
Tb (0.5000, 0.0000, 0.8780)  2 Sc 3.48, 8 Tb 3.48-3.54, 2 Tm 3.55
Tb (0.0000, 0.5000, 0.8780)  8 Tb 3.48-3.54, 2 Sc 3.48, 2 Tm 3.55
Tb (0.5000, 0.0000, 0.6260)  8 Tb 3.53-3.54, 4 Tm 3.54
Sc (0.0000, 0.0000, 0.0000)  12 Tb 3.48-3.53
Tb (0.5000, 0.5000, 0.5000)  4 Tm 3.53, 8 Tb 3.54
Tm (0.0000, 0.0000, 0.7517)  12 Tb 3.53-3.55
Tm (0.0000, 0.0000, 0.2483)  12 Tb 3.53-3.55
Tb (0.0000, 0.5000, 0.6260)  8 Tb 3.53-3.54, 4 Tm 3.54
Tb (0.0000, 0.5000, 0.1220)  8 Tb 3.48-3.54, 2 Sc 3.48, 2 Tm 3.55
Tb (0.5000, 0.0000, 0.1220)  8 Tb 3.48-3.54, 2 Sc 3.48, 2 Tm 3.55
Tb (0.0000, 0.5000, 0.3740)  8 Tb 3.53-3.54, 4 Tm 3.54

E_tot (eV per atom): -4.68
SG: P4/mmm, No. 123
Volume (Å³ per cell): 497.1
Energy of formation from the pure elements (meV per atom): 24


Entry 2:
This record from Alexandria describes a geometry-optimized Tb3Nd4Se8 structure. The functional is PBE.

Cell lengths 8.1918, 8.1918, 9.0137 Å; angles 62.97, 62.97, 60.00 degrees
Last column: nearest neighbours and their distance in Å.
Sites, in units of the cell vectors:
Nd (0.3540, 0.3540, 0.9381)  4 Se 2.82-2.88
Nd (0.0000, 0.0000, 0.0000)  6 Se 3.06
Nd (0.5000, 0.5000, 0.5000)  6 Se 3.03, 2 Nd 3.36
Se (0.7501, 0.7501, 0.2628)  3 Nd 2.88-3.06, 2 Tb 2.96
Se (0.2315, 0.2315, 0.3055)  3 Tb 2.80, 1 Nd 2.82
Se (0.2369, 0.7501, 0.2628)  3 Nd 2.88-3.06, 2 Tb 2.96
Se (0.2499, 0.2499, 0.7372)  3 Nd 2.88-3.06, 2 Tb 2.96
Se (0.2499, 0.7631, 0.7372)  3 Nd 2.88-3.06, 2 Tb 2.96
Se (0.7501, 0.2369, 0.2628)  3 Nd 2.88-3.06, 2 Tb 2.96
Nd (0.6460, 0.6460, 0.0619)  4 Se 2.82-2.88
Tb (0.0000, 0.5000, 0.5000)  6 Se 2.80-2.96
Se (0.7685, 0.7685, 0.6945)  3 Tb 2.80, 1 Nd 2.82
Tb (0.5000, 0.0000, 0.5000)  6 Se 2.80-2.96
Se (0.7631, 0.2499, 0.7372)  3 Nd 2.88-3.06, 2 Tb 2.96
Tb (0.0000, 0.0000, 0.5000)  6 Se 2.80-2.96

E_tot (eV per atom): -5.69
SG: R-3m, No. 166
Volume (Å³ per cell): 445.9
Formation energy (no corrections) (kJ/mol of formula units): -2361


Entry 3:
This record from Alexandria describes a geometry-optimized La2GaOs structure. The functional is PBE.

Cell lengths 8.0798, 8.0798, 6.5938 Å; angles 52.22, 52.22, 90.00 degrees
Last column: nearest neighbours and their distance in Å.
Sites, in units of the cell vectors:
Os (0.0000, 0.0000, 0.0000)  4 La 2.72
La (0.8750, 0.9236, 0.7500)  2 Os 2.72
Ga (0.5000, 0.5000, 0.0000)  8 La 3.25-3.58, 2 Os 3.29
La (0.3750, 0.3264, 0.7500)  2 Os 2.72
La (0.6736, 0.1250, 0.2500)  2 Os 2.72
Os (0.7500, 0.2500, 0.5000)  4 La 2.72
Ga (0.2500, 0.7500, 0.5000)  8 La 3.25-3.58, 2 Os 3.29
La (0.0764, 0.6250, 0.2500)  2 Os 2.72

E_tot (eV per atom): -5.95
SG: I-42d, No. 122
Volume (Å³ per cell): 214.9
Energy of formation from the pure elements (meV per atom): 79